Below is LiPaAlOs after structural relaxation, with properties calculated at the PBE level.

a b c (Å): 6.5530 6.5530 6.5530
angles (deg): 90.00 90.00 90.00
Space group F-43m (No. 216)
Inequivalent atoms, fractional coordinates:
Li 0.0000 0.0000 0.0000 (multiplicity 4)
Pa 0.2500 0.2500 0.7500 (multiplicity 4)
Al 0.2500 0.2500 0.2500 (multiplicity 4)
Os 0.0000 0.0000 0.5000 (multiplicity 4)

Output
DOS(E_F): 16.5 states/eV/cell
volume: 17.59 Å³/atom
calculated density: 10.745 Mg/m³
formation enthalpy at 0 K: -232 meV per atom
total DFT energy (no corrections): -6.827 eV/atom

Below is AcMgZnPt3 after structural relaxation, with properties calculated at the PBE level.

a b c (Å): 6.9196 12.7352 5.8225
angles (deg): 90.00 90.00 90.00
Space group Cmcm (No. 63)
Inequivalent atoms, fractional coordinates:
Ac 0.0000 0.2000 0.2500 (multiplicity 4)
Mg 0.0000 0.4624 0.2500 (multiplicity 4)
Zn 0.0000 0.1296 0.7500 (multiplicity 4)
Pt 0.0000 0.3255 0.7500 (multiplicity 4)
Pt 0.2008 0.0000 0.0000 (multiplicity 8)

Output
DOS(E_F): 11.3 states/eV/cell
volume: 21.38 Å³/atom
calculated density: 11.676 Mg/m³
formation enthalpy at 0 K: -600 meV per atom
total DFT energy (no corrections): -4.783 eV/atom

Below is PdAuSe2Br after structural relaxation, with properties calculated at the PBE level.

a b c (Å): 4.9599 4.9599 5.0731
angles (deg): 90.00 90.00 90.00
Space group P4/mmm (No. 123)
Inequivalent atoms, fractional coordinates:
Pd 0.0000 0.0000 0.0000 (multiplicity 1)
Au 0.5000 0.5000 0.5000 (multiplicity 1)
Se 0.0000 0.5000 0.0000 (multiplicity 2)
Br 0.0000 0.0000 0.5000 (multiplicity 1)

Output
DOS(E_F): 7.4 states/eV/cell
volume: 24.96 Å³/atom
calculated density: 7.201 Mg/m³
E above lowest polymorph: 0.000 eV/f.u.
E_form (uncorrected): 531 meV per atom
total DFT energy (no corrections): -2.892 eV/atom

Below is Ga7Co2Ni2 after structural relaxation, with properties calculated at the PBE level.

a b c (Å): 6.6428 8.5025 6.0006
angles (deg): 90.00 90.00 90.00
Space group Cmmm (No. 65)
Inequivalent atoms, fractional coordinates:
Ga 0.0000 0.0000 0.0000 (multiplicity 2)
Ga 0.0000 0.5000 0.2595 (multiplicity 4)
Ga 0.2500 0.2500 0.2852 (multiplicity 8)
Co 0.0000 0.2778 0.0000 (multiplicity 4)
Ni 0.1878 0.0000 0.5000 (multiplicity 4)

Output
DOS(E_F): 13.1 states/eV/cell
volume: 15.41 Å³/atom
calculated density: 7.088 Mg/m³
formation enthalpy at 0 K: -97 meV per atom
total DFT energy (no corrections): -4.366 eV/atom

Below is Mg2Tl2In4Hg after structural relaxation, with properties calculated at the PBE level.

a b c (Å): 3.3636 3.3636 24.7533
angles (deg): 90.00 90.00 120.00
Space group P3m1 (No. 156)
Inequivalent atoms, fractional coordinates:
Mg 0.0000 0.0000 0.0000 (multiplicity 1)
Mg 0.3333 0.6667 0.3148 (multiplicity 1)
Tl 0.0000 0.0000 0.5461 (multiplicity 1)
Tl 0.0000 0.0000 0.7852 (multiplicity 1)
In 0.0000 0.0000 0.2127 (multiplicity 1)
In 0.0000 0.0000 0.4164 (multiplicity 1)
In 0.3333 0.6667 0.1023 (multiplicity 1)
In 0.3333 0.6667 0.8996 (multiplicity 1)
Hg 0.3333 0.6667 0.6652 (multiplicity 1)

Output
DOS(E_F): 3.8 states/eV/cell
volume: 26.95 Å³/atom
calculated density: 7.649 Mg/m³
formation enthalpy at 0 K: 3 meV per atom
total DFT energy (no corrections): -2.128 eV/atom

Below is Y2PbBr after structural relaxation, with properties calculated at the PBE level.

a b c (Å): 7.7792 4.5032 7.1922
angles (deg): 90.00 111.26 90.00
Space group C2/m (No. 12)
Inequivalent atoms, fractional coordinates:
Y 0.2467 0.0000 0.2405 (multiplicity 4)
Pb 0.0000 0.5000 0.0000 (multiplicity 2)
Br 0.0000 0.0000 0.5000 (multiplicity 2)

Output
DOS(E_F): 4.2 states/eV/cell
volume: 29.35 Å³/atom
calculated density: 6.576 Mg/m³
E above lowest polymorph: 0.002 eV/f.u.
E_form (uncorrected): -769 meV per atom
total DFT energy (no corrections): -5.346 eV/atom

Below is TaZnAsPb2 after structural relaxation, with properties calculated at the PBE level.

a b c (Å): 5.5750 5.5750 4.9516
angles (deg): 90.00 90.00 90.00
Space group P4/mmm (No. 123)
Inequivalent atoms, fractional coordinates:
Ta 0.0000 0.0000 0.0000 (multiplicity 1)
Zn 0.5000 0.5000 0.5000 (multiplicity 1)
As 0.0000 0.0000 0.5000 (multiplicity 1)
Pb 0.0000 0.5000 0.0000 (multiplicity 2)

Output
DOS(E_F): 2.6 states/eV/cell
volume: 30.78 Å³/atom
calculated density: 7.938 Mg/m³
formation enthalpy at 0 K: 438 meV per atom
total DFT energy (no corrections): -4.600 eV/atom

Below is Zr2GaH after structural relaxation, with properties calculated at the PBE level.

a b c (Å): 3.1894 3.1894 21.9650
angles (deg): 90.00 90.00 120.00
Space group R-3m (No. 166, hexagonal axes)
Inequivalent atoms, fractional coordinates:
Zr 0.0000 0.0000 0.2286 (multiplicity 6)
Ga 0.0000 0.0000 0.0000 (multiplicity 3)
H 0.0000 0.0000 0.5000 (multiplicity 3)

Output
DOS(E_F): 10.5 states/eV/cell
volume: 16.13 Å³/atom
calculated density: 6.518 Mg/m³
E above lowest polymorph: 0.566 eV/f.u.
total DFT energy (no corrections): -6.194 eV/atom

Below is Mn2SbHPd after structural relaxation, with properties calculated at the PBE level.

a b c (Å): 3.9527 3.9527 4.1369
angles (deg): 90.00 90.00 90.00
Space group P4/mmm (No. 123)
Inequivalent atoms, fractional coordinates:
Mn 0.0000 0.5000 0.0000 (multiplicity 2)
Sb 0.0000 0.0000 0.5000 (multiplicity 1)
H 0.5000 0.5000 0.0000 (multiplicity 1)
Pd 0.5000 0.5000 0.5000 (multiplicity 1)

Output
DOS(E_F): 3.2 states/eV/cell
volume: 12.93 Å³/atom
calculated density: 8.711 Mg/m³
total DFT energy (no corrections): -6.251 eV/atom

Below is LiHoLuSi after structural relaxation, with properties calculated at the PBE level.

a b c (Å): 6.9256 6.9256 6.9256
angles (deg): 90.00 90.00 90.00
Space group F-43m (No. 216)
Inequivalent atoms, fractional coordinates:
Li 0.0000 0.0000 0.0000 (multiplicity 4)
Ho 0.2500 0.2500 0.2500 (multiplicity 4)
Lu 0.2500 0.2500 0.7500 (multiplicity 4)
Si 0.0000 0.0000 0.5000 (multiplicity 4)

Output
DOS(E_F): 10.7 states/eV/cell
volume: 20.76 Å³/atom
calculated density: 7.497 Mg/m³
E_form (uncorrected): -336 meV per atom
total DFT energy (no corrections): -4.444 eV/atom

Below is TaRhW2 after structural relaxation, with properties calculated at the PBE level.

a b c (Å): 4.0029 4.0029 8.1076
angles (deg): 90.00 90.00 90.00
Space group I-4m2 (No. 119)
Inequivalent atoms, fractional coordinates:
Ta 0.0000 0.0000 0.0000 (multiplicity 2)
Rh 0.0000 0.5000 0.2500 (multiplicity 2)
W 0.0000 0.0000 0.5000 (multiplicity 2)
W 0.0000 0.5000 0.7500 (multiplicity 2)

Output
DOS(E_F): 8.1 states/eV/cell
volume: 16.24 Å³/atom
calculated density: 16.656 Mg/m³
E above lowest polymorph: 0.662 eV/f.u.
formation enthalpy at 0 K: 69 meV per atom
total DFT energy (no corrections): -11.208 eV/atom

Below is BeCl2O after structural relaxation, with properties calculated at the PBE level.

a b c (Å): 6.0206 6.0206 8.6045
angles (deg): 90.00 90.00 90.00
Space group I-42d (No. 122)
Inequivalent atoms, fractional coordinates:
Be 0.0000 0.0000 0.0000 (multiplicity 4)
Cl 0.1458 0.2500 0.1250 (multiplicity 8)
O 0.0000 0.0000 0.5000 (multiplicity 4)

Output
DOS(E_F): 0.0 states/eV/cell
volume: 19.49 Å³/atom
calculated density: 2.043 Mg/m³
E above lowest polymorph: 0.000 eV/f.u.
E_form (uncorrected): -286 meV per atom
total DFT energy (no corrections): -3.380 eV/atom